Material: PmYEr2Tm2
Method: DFT, PBE
State: relaxed

abc: 5.590 9.703 6.901
angles: 90.00 90.00 90.00
Atoms (fractional coordinates):
1 Tm 0.000 0.333 0.751
2 Tm 0.500 0.167 0.251
3 Tm 0.000 0.667 0.249
4 Tm 0.500 0.833 0.749
5 Pm 0.000 0.000 0.000
6 Pm 0.500 0.500 0.500
7 Er 0.000 0.334 0.249
8 Er 0.500 0.166 0.749
9 Er 0.500 0.834 0.251
10 Er 0.000 0.666 0.751
11 Y 0.500 0.500 0.000
12 Y 0.000 0.000 0.500

## Properties
Theoretical density ... 8.041 g/cm³
M_tot ... 0.000 μB/f.u.
VASP energy ... -4.805 eV/atom
ΔH_f (0 K) ... 76 meV per atom
Symmetry ... Pnnm (58)

***

Material: PmY2Er3Tm6
Method: DFT, PBE
State: relaxed

abc: 6.094 6.094 11.664
angles: 94.99 94.99 119.93
Atoms (fractional coordinates):
1 Er 0.167 0.833 0.500
2 Er 0.833 0.167 0.500
3 Er 0.500 0.500 0.500
4 Tm 0.752 0.752 0.253
5 Tm 0.248 0.248 0.747
6 Tm 0.915 0.582 0.747
7 Tm 0.418 0.085 0.253
8 Tm 0.582 0.915 0.747
9 Tm 0.085 0.418 0.253
10 Y 0.667 0.333 0.000
11 Y 0.333 0.667 0.000
12 Pm 0.000 0.000 0.000

## Properties
Theoretical density ... 8.258 g/cm³
M_tot ... 0.001 μB/f.u.
VASP energy ... -4.823 eV/atom
ΔH_f (0 K) ... 26 meV per atom
Symmetry ... C2/m (12)

***

Material: Pm2Y3ErTm6
Method: DFT, PBE
State: relaxed

abc: 6.127 6.127 11.707
angles: 95.00 95.00 119.95
Atoms (fractional coordinates):
1 Tm 0.751 0.751 0.251
2 Tm 0.084 0.417 0.250
3 Tm 0.249 0.249 0.749
4 Tm 0.916 0.583 0.750
5 Tm 0.417 0.084 0.250
6 Tm 0.583 0.916 0.750
7 Pm 0.333 0.667 0.000
8 Pm 0.667 0.333 0.000
9 Y 0.166 0.834 0.500
10 Y 0.500 0.500 0.500
11 Y 0.834 0.166 0.500
12 Er 0.000 0.000 0.000

## Properties
Theoretical density ... 7.694 g/cm³
M_tot ... 0.000 μB/f.u.
VASP energy ... -4.999 eV/atom
ΔH_f (0 K) ... 25 meV per atom
Symmetry ... C2/m (12)

***

Material: PmY3ErTm
Method: DFT, PBE
State: relaxed

abc: 5.028 7.960 10.081
angles: 90.00 90.00 108.41
Atoms (fractional coordinates):
1 Y 0.167 0.335 0.750
2 Y 0.666 0.332 0.000
3 Y 0.334 0.668 0.500
4 Y 0.833 0.665 0.250
5 Y 0.334 0.668 0.000
6 Y 0.666 0.332 0.500
7 Tm 0.167 0.333 0.250
8 Tm 0.833 0.667 0.750
9 Pm 0.501 0.002 0.250
10 Pm 0.499 0.998 0.750
11 Er 0.000 0.000 0.000
12 Er 0.000 0.000 0.500

## Properties
Theoretical density ... 6.488 g/cm³
M_tot ... 0.000 μB/f.u.
VASP energy ... -5.505 eV/atom
ΔH_f (0 K) ... 24 meV per atom
Symmetry ... Cmcm (63)